Below is MgScCd after structural relaxation, with properties calculated at the PBE level.

## Properties
**Symmetry**: F-43m
**DOS(E_F)**: 3.9 states/eV per cell
**Raw total energy**: -2.870 eV per atom

Structure (extended XYZ):
```
3
Lattice="-4.721 -0.710 -0.180 -1.744 -4.446 -0.126 -2.295 -1.774 3.796" Properties=species:S:1:pos:R:3 pbc="T T T"
Cd -6.571 -5.197 2.618
Mg 0.000 0.000 0.000
Sc -4.381 -3.465 1.745
```



Below is InGa2ReH after structural relaxation, with properties calculated at the PBE level.

## Properties
**Symmetry**: P4/mmm
**DOS(E_F)**: 3.6 states/eV per cell
**Raw total energy**: -4.470 eV per atom

Structure (extended XYZ):
```
5
Lattice="5.003 0.000 0.000 0.000 3.623 0.000 0.000 0.000 5.003" Properties=species:S:1:pos:R:3 pbc="T T T"
Re 0.000 0.000 0.000
H 0.000 1.812 0.000
Ga 0.000 0.000 2.501
Ga 2.501 0.000 0.000
In 2.501 1.812 2.501
```



Below is LaCd3As3 after structural relaxation, with properties calculated at the PBE level.

## Properties
**Relative energy among the computed polymorphs**: 0.0057 eV/atom
**Symmetry**: R-3
**Raw total energy**: -3.628 eV per atom

Structure (extended XYZ):
```
14
Lattice="6.916 0.000 3.521 2.561 6.424 3.521 0.041 0.028 8.471" Properties=species:S:1:pos:R:3 pbc="T T T"
La 3.204 2.172 10.811
La 6.314 4.280 4.701
Cd 5.163 5.083 9.768
Cd 5.794 0.807 8.613
Cd 2.030 2.913 7.423
Cd 7.488 3.539 8.089
Cd 3.724 5.645 6.899
Cd 4.356 1.368 5.745
As 3.280 3.762 4.963
As 7.047 1.653 6.153
As 6.416 5.934 7.309
As 3.102 0.518 8.204
As 2.471 4.798 9.360
As 6.238 2.690 10.550
```



Below is Pm3Sm7Er after structural relaxation, with properties calculated at the PBE level.

## Properties
**Relative energy among the computed polymorphs**: 0.0000 eV/atom
**Symmetry**: C2/m
**DOS(E_F)**: 15.4 states/eV per cell
**Raw total energy**: -4.478 eV per atom

Structure (extended XYZ):
```
11
Lattice="6.458 0.008 0.424 0.415 7.686 1.068 -0.015 0.017 7.773" Properties=species:S:1:pos:R:3 pbc="T T T"
Pm 6.799 6.376 2.644
Pm 3.229 0.004 0.212
Pm 0.059 1.335 6.620
Sm 5.174 1.856 2.457
Sm 5.142 7.045 5.735
Sm 1.864 3.294 1.232
Sm 4.995 4.417 8.032
Sm 0.200 3.852 4.420
Sm 1.716 0.666 3.530
Sm 1.685 5.854 6.807
Er 3.429 3.855 4.632
```



Below is La8TcP3I4 after structural relaxation, with properties calculated at the PBE level.

## Properties
**Formation energy from raw total energies**: -1.213 eV per atom
**Symmetry**: R-3m
**DOS(E_F)**: 11.3 states/eV per cell
**Raw total energy**: -5.726 eV per atom

Structure (extended XYZ):
```
16
Lattice="8.632 0.000 0.000 0.000 9.311 0.479 -4.316 -4.316 6.104" Properties=species:S:1:pos:R:3 pbc="T T T"
La -2.218 2.259 6.216
La 0.000 4.476 3.080
La 0.000 0.531 3.427
La 2.218 2.259 6.216
La 2.099 2.737 0.367
La 4.316 4.465 3.156
La 4.316 0.519 3.503
La 6.534 2.737 0.367
Tc 0.000 4.655 0.240
P 4.316 4.655 0.240
P 2.158 2.498 3.292
P -2.158 2.498 3.292
I 4.316 0.000 0.000
I 2.158 -2.158 3.052
I 0.000 0.000 0.000
I -2.158 -2.158 3.052
```



Below is Tm2Th5Sc4 after structural relaxation, with properties calculated at the PBE level.

## Properties
**Relative energy among the computed polymorphs**: 0.1616 eV/atom
**Symmetry**: C2/m
**DOS(E_F)**: 18.7 states/eV per cell
**Raw total energy**: -6.280 eV per atom

Structure (extended XYZ):
```
11
Lattice="6.797 0.000 0.000 3.398 5.831 -0.606 3.398 0.420 8.317" Properties=species:S:1:pos:R:3 pbc="T T T"
Tm 6.797 3.943 6.117
Tm 6.797 2.308 1.595
Th 4.959 1.264 6.820
Th 8.634 4.987 0.892
Th 3.398 3.126 3.856
Th 8.634 1.264 6.820
Th 4.959 4.987 0.892
Sc 6.797 5.674 3.449
Sc 6.797 0.577 4.263
Sc 10.195 4.349 6.776
Sc 3.398 1.902 0.935
```



Below is Ce2SiSb after structural relaxation, with properties calculated at the PBE level.

## Properties
**Formation energy from raw total energies**: -0.683 eV per atom
**Relative energy among the computed polymorphs**: 0.0691 eV/atom
**Symmetry**: Amm2
**DOS(E_F)**: 10.7 states/eV per cell
**Raw total energy**: -6.037 eV per atom

Structure (extended XYZ):
```
4
Lattice="-0.908 1.898 -3.804 0.922 -3.719 -2.075 -4.941 -2.558 2.389" Properties=species:S:1:pos:R:3 pbc="T T T"
Ce -4.486 -3.919 0.456
Ce -2.970 0.699 -2.571
Si -5.095 -1.019 -0.437
Sb -2.569 -2.263 -1.660
```



Below is FeNi6H4 after structural relaxation, with properties calculated at the PBE level.

## Properties
**Symmetry**: Cm
**DOS(E_F)**: 7.1 states/eV per cell
**Raw total energy**: -5.078 eV per atom

Structure (extended XYZ):
```
11
Lattice="0.787 -1.504 4.637 2.663 -3.952 -1.294 4.867 -0.700 1.828" Properties=species:S:1:pos:R:3 pbc="T T T"
Fe 4.878 -0.898 1.913
Ni 5.557 -5.055 2.305
Ni 4.791 -4.055 4.728
Ni 4.089 -3.070 2.560
Ni 6.255 -2.859 1.149
Ni 2.518 -0.786 1.121
Ni 5.254 -1.553 4.311
H 1.888 -1.643 2.471
H 6.297 -4.687 3.925
H 2.483 -2.420 0.588
H 5.583 -2.425 2.766
```



Below is Sm2ErTh2 after structural relaxation, with properties calculated at the PBE level.

## Properties
**Relative energy among the computed polymorphs**: 0.0000 eV/atom
**Symmetry**: C2/c
**DOS(E_F)**: 14.1 states/eV per cell
**Raw total energy**: -5.558 eV per atom

Structure (extended XYZ):
```
10
Lattice="-4.292 -2.724 3.481 3.655 -6.793 5.716 -5.998 6.302 4.060" Properties=species:S:1:pos:R:3 pbc="T T T"
Sm -1.441 -1.563 7.654
Sm -5.194 -1.651 5.603
Sm -1.659 -2.173 4.101
Sm -4.976 -1.041 9.156
Er -0.559 -7.485 8.156
Er -6.076 4.271 5.101
Th -1.465 -4.770 6.355
Th -3.067 -5.569 9.372
Th -3.568 2.356 3.885
Th -5.170 1.556 6.902
```



Below is GaS2Cl2F2 after structural relaxation, with properties calculated at the PBE level.

## Properties
**Formation energy from raw total energies**: -1.042 eV per atom
**Symmetry**: C2/m
**DOS(E_F)**: 1.2 states/eV per cell
**Raw total energy**: -3.716 eV per atom

Structure (extended XYZ):
```
7
Lattice="-1.795 1.814 -2.254 -6.094 1.478 3.471 0.748 6.410 1.992" Properties=species:S:1:pos:R:3 pbc="T T T"
Ga 0.000 0.000 0.000
S -2.792 3.186 2.217
S -4.349 6.516 0.993
Cl -6.558 7.391 3.456
Cl -0.584 2.311 -0.247
F -4.530 1.740 2.436
F -2.612 7.962 0.773
```



Below is CaSi2Os after structural relaxation, with properties calculated at the PBE level.

## Properties
**Formation energy from raw total energies**: -0.258 eV per atom
**Symmetry**: R3m
**DOS(E_F)**: 4.6 states/eV per cell
**Raw total energy**: -6.278 eV per atom

Structure (extended XYZ):
```
12
Lattice="-0.071 -1.800 3.223 3.126 0.157 -1.959 5.114 16.815 9.504" Properties=species:S:1:pos:R:3 pbc="T T T"
Ca 3.814 12.539 7.088
Ca 4.169 6.439 3.688
Ca 1.399 0.182 2.247
Si 0.929 3.054 1.726
Si 6.398 13.768 7.831
Si 3.628 7.511 6.390
Si 1.556 5.115 2.891
Si 7.025 15.829 8.995
Si 4.255 9.572 7.555
Os 2.931 9.636 5.446
Os 3.286 3.535 2.047
Os 5.630 14.093 10.110
```



Below is Pr2P4Ir3Ru after structural relaxation, with properties calculated at the PBE level.

## Properties
**Symmetry**: P-4m2
**DOS(E_F)**: 4.1 states/eV per cell
**Raw total energy**: -7.719 eV per atom

Structure (extended XYZ):
```
10
Lattice="4.211 0.000 0.000 0.000 4.211 0.000 0.000 0.000 9.553" Properties=species:S:1:pos:R:3 pbc="T T T"
Pr 2.105 0.000 2.292
Pr 0.000 2.105 7.261
P 2.105 2.105 0.000
P 0.000 0.000 0.000
P 2.105 0.000 6.041
P 0.000 2.105 3.512
Ir 0.000 0.000 4.776
Ir 2.105 0.000 8.474
Ir 0.000 2.105 1.079
Ru 2.105 2.105 4.776
```



Below is Dy2PBr after structural relaxation, with properties calculated at the PBE level.

## Properties
**Formation energy from raw total energies**: -1.423 eV per atom
**Symmetry**: R3m
**DOS(E_F)**: 0.7 states/eV per cell
**Raw total energy**: -5.495 eV per atom

Structure (extended XYZ):
```
4
Lattice="3.980 0.000 0.000 1.990 3.447 0.000 1.990 1.149 7.178" Properties=species:S:1:pos:R:3 pbc="T T T"
Dy 1.990 1.149 5.745
Dy 1.990 1.149 1.436
P 5.970 3.447 7.140
Br 3.980 2.298 3.623
```



Below is CeThSeS after structural relaxation, with properties calculated at the PBE level.

## Properties
**Formation energy from raw total energies**: -1.740 eV per atom
**Symmetry**: R3m
**DOS(E_F)**: 6.3 states/eV per cell
**Raw total energy**: -6.982 eV per atom

Structure (extended XYZ):
```
4
Lattice="3.981 0.000 0.000 -1.990 3.448 0.000 -1.990 -1.149 7.336" Properties=species:S:1:pos:R:3 pbc="T T T"
Ce 0.376 -0.252 4.737
Th -1.614 3.196 0.686
Se 2.366 0.897 2.671
S -1.614 0.897 6.355
```



Below is K3SmDy2Se6 after structural relaxation, with properties calculated at the PBE level.

## Properties
**Formation energy from raw total energies**: -1.762 eV per atom
**Symmetry**: C2/m
**DOS(E_F)**: 0.0 states/eV per cell
**Raw total energy**: -4.939 eV per atom

Structure (extended XYZ):
```
12
Lattice="7.347 -0.001 0.000 -3.673 6.363 0.000 -1.225 -2.121 7.687" Properties=species:S:1:pos:R:3 pbc="T T T"
K -2.457 4.246 3.844
K 4.906 -0.006 3.844
K 1.225 2.120 3.844
Sm 0.000 0.000 0.000
Dy 0.000 4.242 0.000
Dy 3.675 2.120 0.000
Se 3.692 2.088 6.101
Se 2.431 4.209 1.586
Se -1.242 2.153 1.587
Se -0.036 4.241 6.101
Se 0.018 0.031 6.102
Se 2.486 0.000 1.587
```



Below is Ta2TcH after structural relaxation, with properties calculated at the PBE level.

## Properties
**Relative energy among the computed polymorphs**: 0.1649 eV/atom
**Symmetry**: I-42d
**DOS(E_F)**: 3.6 states/eV per cell
**Raw total energy**: -9.180 eV per atom

Structure (extended XYZ):
```
8
Lattice="6.000 0.000 0.000 0.000 6.000 0.000 3.000 3.000 3.127" Properties=species:S:1:pos:R:3 pbc="T T T"
H 3.000 3.000 0.000
H 3.000 6.000 1.563
Tc 0.000 0.000 0.000
Tc 6.000 3.000 1.563
Ta 4.036 1.500 0.782
Ta 1.965 4.500 0.782
Ta 4.500 4.965 2.345
Ta 7.501 7.036 2.345
```



Below is Sc2InW after structural relaxation, with properties calculated at the PBE level.

## Properties
**Symmetry**: Cmmm
**DOS(E_F)**: 3.8 states/eV per cell
**Raw total energy**: -7.000 eV per atom

Structure (extended XYZ):
```
4
Lattice="5.345 -0.008 -0.022 -1.725 5.059 -0.022 0.015 0.021 2.974" Properties=species:S:1:pos:R:3 pbc="T T T"
In -0.855 2.540 1.476
Sc 0.000 0.000 0.000
Sc 1.810 2.526 -0.022
W 2.680 0.007 1.476
```



Below is PtCl3 after structural relaxation, with properties calculated at the PBE level.

## Properties
**Formation energy from raw total energies**: -0.272 eV per atom
**Symmetry**: Pnma
**DOS(E_F)**: 8.8 states/eV per cell
**Raw total energy**: -3.167 eV per atom

Structure (extended XYZ):
```
16
Lattice="6.556 0.000 0.000 0.000 6.254 0.000 0.000 0.000 11.228" Properties=species:S:1:pos:R:3 pbc="T T T"
Pt 4.915 5.691 8.421
Pt 1.637 3.690 2.807
Pt 4.918 2.564 8.421
Pt 1.640 0.563 2.807
Cl 0.231 0.999 8.421
Cl 3.509 2.128 2.807
Cl 3.046 4.126 8.421
Cl 6.324 5.255 2.807
Cl 3.982 1.006 10.043
Cl 0.704 2.121 1.186
Cl 5.852 4.133 6.800
Cl 2.574 5.248 4.429
Cl 2.574 5.248 1.186
Cl 5.852 4.133 10.043
Cl 0.704 2.121 4.429
Cl 3.982 1.006 6.800
```



Below is Sm5YSc after structural relaxation, with properties calculated at the PBE level.

## Properties
**Relative energy among the computed polymorphs**: 0.6692 eV/atom
**Symmetry**: C2/m
**DOS(E_F)**: 9.3 states/eV per cell
**Raw total energy**: -4.326 eV per atom

Structure (extended XYZ):
```
7
Lattice="4.954 0.900 2.944 3.055 7.847 3.804 1.119 1.220 9.090" Properties=species:S:1:pos:R:3 pbc="T T T"
Sm 3.607 2.719 4.729
Sm 1.721 3.282 7.446
Sm 2.477 0.450 1.472
Sm 2.453 5.785 5.448
Sm 5.521 7.249 11.109
Y 4.564 4.984 7.919
Sc 0.000 0.000 0.000
```



Below is B3PtRh3 after structural relaxation, with properties calculated at the PBE level.

## Properties
**Symmetry**: R-3
**DOS(E_F)**: 5.9 states/eV per cell
**Raw total energy**: -7.105 eV per atom

Structure (extended XYZ):
```
14
Lattice="-4.142 0.108 4.283 2.039 -0.911 5.524 0.092 4.823 3.498" Properties=species:S:1:pos:R:3 pbc="T T T"
B -1.561 4.262 7.183
B 0.726 1.800 8.272
B -2.708 1.020 7.989
B 0.697 3.000 5.316
B -2.736 2.219 5.033
B -0.450 -0.243 6.122
Pt -0.658 1.315 4.353
Pt -1.353 2.705 8.952
Rh -2.568 0.305 5.991
Rh 1.202 1.116 6.315
Rh -1.267 3.843 5.118
Rh -0.743 0.176 8.187
Rh -3.212 2.904 6.989
Rh 0.557 3.714 7.314
```